Cs2ScAgF6 | GGA-PBE | optimized geometry

Results
* VASP energy: -5.11 eV per atom
* volume: 16.5 Å³ per atom

```
Cs2ScAgF6
1.0
-5.291 -0.012 -3.172
-5.287 1.543 2.779
-2.797 5.321 -1.388
Ag Cs F Sc
1 2 6 1
direct
0.500 0.500 0.500
0.249 0.249 0.249
0.750 0.750 0.750
0.215 0.769 0.244
0.756 0.785 0.230
0.785 0.230 0.756
0.769 0.244 0.215
0.244 0.215 0.769
0.230 0.756 0.785
0.000 0.000 0.000
```